1.
Entry from Alexandria via LeMat-Bulk: ScNi4Sb at its PBEsol-relaxed geometry (SCAN).

Unit cell a=4.817 b=4.817 c=4.817 alpha=60.00 beta=60.00 gamma=60.00
Atoms (fractional coordinates):
Sc 0.000 0.000 0.000
Ni 0.374 0.374 0.374
Ni 0.374 0.374 0.877
Ni 0.374 0.877 0.374
Ni 0.877 0.374 0.374
Sb 0.750 0.750 0.750

ρ   8.44 g/cm3
Final energy   -19.743 eV per atom
ΔE_f (raw)   -0.378 eV/atom
D(E_F)   3.79 states/eV per cell
Total magnetic moment   0.4 Bohr magnetons per cell

---

2.
Entry from Alexandria via LeMat-Bulk: KGa3Ir at its PBEsol-relaxed geometry (SCAN).

Unit cell a=5.059 b=5.059 c=5.059 alpha=90.00 beta=90.00 gamma=90.00
Atoms (fractional coordinates):
K 0.000 0.000 0.000
Ga 0.000 0.000 0.500
Ga 0.000 0.500 0.000
Ga 0.500 0.000 0.000
Ir 0.500 0.500 0.500

ρ   5.65 g/cm3
ΔE to the lowest computed polymorph   12.70 eV/f.u.
Final energy   -23.532 eV per atom
D(E_F)   3.73 states/eV per cell
Calculated formation energy   2161 meV per atom
Total magnetic moment   0.0 Bohr magnetons per cell

---

3.
Entry from Alexandria via LeMat-Bulk: Na2In2SiS6 at its PBEsol-relaxed geometry (SCAN).

Unit cell a=7.145 b=7.145 c=12.160 alpha=105.66 beta=105.66 gamma=66.75
Atoms (fractional coordinates):
Na 0.071 0.929 0.500
Na 0.084 0.478 0.825
Na 0.478 0.084 0.325
Na 0.929 0.071 0.000
In 0.374 0.548 0.187
In 0.548 0.374 0.687
In 0.591 0.703 0.991
In 0.703 0.591 0.491
Si 0.489 0.925 0.745
Si 0.925 0.489 0.245
S 0.028 0.533 0.428
S 0.188 0.304 0.163
S 0.258 0.705 0.014
S 0.298 0.739 0.696
S 0.304 0.188 0.663
S 0.382 0.787 0.374
S 0.533 0.028 0.928
S 0.705 0.258 0.514
S 0.739 0.298 0.196
S 0.781 0.789 0.691
S 0.787 0.382 0.874
S 0.789 0.781 0.191

ρ   3.05 g/cm3
Final energy   -13.994 eV per atom
ΔE_f (raw)   -0.995 eV/atom
D(E_F)   0.00 states/eV per cell
Total magnetic moment   0.0 Bohr magnetons per cell

---

4.
Entry from Alexandria via LeMat-Bulk: MgSiHg at its PBEsol-relaxed geometry (SCAN).

Unit cell a=4.349 b=4.349 c=3.675 alpha=90.00 beta=90.00 gamma=120.00
Atoms (fractional coordinates):
Mg 0.000 0.000 0.000
Si 0.333 0.667 0.575
Hg 0.667 0.333 0.415

ρ   6.98 g/cm3
Final energy   -27.580 eV per atom
ΔE_f (raw)   0.138 eV/atom
D(E_F)   0.94 states/eV per cell
Total magnetic moment   0.0 Bohr magnetons per cell

---

Look up the total magnetic moment of the second one.
0.0 Bohr magnetons per cell

---

What is the formula in the second record?
KGa3Ir

---

What is the final energy in the second record?
-23.532 eV per atom

---

Number 3 is which compound?
Na2In2SiS6